Computed, not measured: crystalline Ba2Ge2Se5 at its relaxed geometry at the PBE-GGA level of DFT.

Unit cell a=7.618 b=7.618 c=7.390 alpha=109.59 beta=109.59 gamma=43.75
Element x y z (fractional)
Ba1 0.108 0.108 0.306
Ba2 0.892 0.892 0.694
Ge1 0.345 0.345 0.120
Ge2 0.655 0.655 0.880
Se1 0.162 0.162 0.903
Se2 0.354 0.354 0.454
Se3 0.500 0.500 0.000
Se4 0.646 0.646 0.546
Se5 0.838 0.838 0.097

***

Computed, not measured: crystalline Ba2Ge2Se5 at its relaxed geometry at the PBE-GGA level of DFT.

Unit cell a=12.847 b=9.232 c=9.399 alpha=90.00 beta=90.00 gamma=90.00
Element x y z (fractional)
Ba1 0.178 0.004 0.124
Ba2 0.178 0.496 0.124
Ba3 0.322 0.504 0.624
Ba4 0.322 0.996 0.624
Ba5 0.678 0.004 0.376
Ba6 0.678 0.496 0.376
Ba7 0.822 0.504 0.876
Ba8 0.822 0.996 0.876
Ge1 0.036 0.750 0.474
Ge2 0.097 0.750 0.817
Ge3 0.403 0.250 0.317
Ge4 0.464 0.250 0.974
Ge5 0.536 0.750 0.026
Ge6 0.597 0.750 0.683
Ge7 0.903 0.250 0.183
Ge8 0.964 0.250 0.526
Se1 0.006 0.250 0.976
Se2 0.059 0.543 0.672
Se3 0.059 0.957 0.672
Se4 0.217 0.750 0.382
Se5 0.224 0.250 0.385
Se6 0.276 0.750 0.885
Se7 0.283 0.250 0.882
Se8 0.441 0.043 0.172
Se9 0.441 0.457 0.172
Se10 0.494 0.750 0.476
Se11 0.506 0.250 0.524
Se12 0.559 0.543 0.828
Se13 0.559 0.957 0.828
Se14 0.717 0.750 0.118
Se15 0.724 0.250 0.115
Se16 0.776 0.750 0.615
Se17 0.783 0.250 0.618
Se18 0.941 0.043 0.328
Se19 0.941 0.457 0.328
Se20 0.994 0.750 0.024

***

Computed, not measured: crystalline BaGeSe3 at its relaxed geometry at the PBE-GGA level of DFT.

Unit cell a=5.344 b=7.745 c=7.759 alpha=77.68 beta=87.00 gamma=87.03
Element x y z (fractional)
Ba1 0.237 0.193 0.193
Ba2 0.763 0.807 0.807
Ge1 0.000 0.331 0.668
Ge2 0.000 0.669 0.332
Se1 0.229 0.604 0.604
Se2 0.244 0.661 0.075
Se3 0.245 0.074 0.659
Se4 0.755 0.926 0.341
Se5 0.756 0.339 0.925
Se6 0.771 0.396 0.396

***

Computed, not measured: crystalline Ba2GeSe4 at its relaxed geometry at the PBE-GGA level of DFT.

Unit cell a=7.215 b=7.179 c=9.254 alpha=90.00 beta=108.52 gamma=90.00
Element x y z (fractional)
Ba1 0.221 0.250 0.050
Ba2 0.274 0.250 0.570
Ba3 0.726 0.750 0.430
Ba4 0.779 0.750 0.950
Ge1 0.212 0.750 0.793
Ge2 0.788 0.250 0.207
Se1 0.004 0.508 0.268
Se2 0.004 0.992 0.268
Se3 0.374 0.750 0.062
Se4 0.412 0.750 0.630
Se5 0.588 0.250 0.370
Se6 0.626 0.250 0.938
Se7 0.996 0.008 0.732
Se8 0.996 0.492 0.732

***

| no. | formation energy without anion corrections (kJ/mol of formula units) | energy above the lowest structure with this stoichiometry (eV/atom) |
| --- | --- | --- |
| 1 | -866 | 0.1319 |
| 2 | -981 | 0.0000 |
| 3 | -477 | 0.0089 |
| 4 | -917 | 0.0000 |